(P)
The following is a DFT calculation (GGA-PBEsol) of a relaxed RbB2Se2 crystal.

Results
total magnetic moment = 0.0 Bohr magnetons per cell
symmetry = P4/mbm (127)

Cell lengths 3.7923, 7.4156, 7.4156 Å; angles 90.00, 90.00, 90.00 degrees
Fractional positions:
B  0.0000  0.0788  0.4212
B  0.0000  0.4212  0.9212
B  0.0000  0.5788  0.0788
B  0.0000  0.9212  0.5788
Se  0.5000  0.1198  0.6198
Se  0.5000  0.8802  0.3802
Se  0.5000  0.6198  0.8802
Se  0.5000  0.3802  0.1198
Rb  0.0000  0.0000  0.0000
Rb  0.0000  0.5000  0.5000

---

(Q)
The following is a DFT calculation (GGA-PBEsol) of a relaxed RbB2Se2 crystal.

Results
total magnetic moment = 0.0 Bohr magnetons per cell
symmetry = I4/mmm (139)

Cell lengths 4.6050, 5.1282, 4.6050 Å; angles 63.32, 90.00, 116.68 degrees
Fractional positions:
Rb  0.0000  0.0000  0.0000
B  0.3818  0.7637  0.6182
B  0.6182  0.2363  0.3818
Se  0.7500  0.5000  0.7500
Se  0.2500  0.5000  0.2500

---

Relative energy table, unit kJ/mol of atoms: (P) 24.7; (Q) 0.0

---

(P)
The following is a DFT calculation (GGA-PBEsol) of a relaxed RbTcB3 crystal.

Results
total magnetic moment = 0.0 Bohr magnetons per cell
symmetry = Pm-3m (221)

Cell lengths 4.2409, 4.2409, 4.2409 Å; angles 90.00, 90.00, 90.00 degrees
Fractional positions:
Tc  0.0000  0.0000  0.0000
B  0.0000  0.5000  0.0000
B  0.0000  0.0000  0.5000
B  0.5000  0.0000  0.0000
Rb  0.5000  0.5000  0.5000

---

(Q)
The following is a DFT calculation (GGA-PBEsol) of a relaxed RbTcB3 crystal.

Results
total magnetic moment = 2.4 Bohr magnetons per cell
symmetry = Pm-3m (221)

Cell lengths 4.1669, 4.1669, 4.1669 Å; angles 90.00, 90.00, 90.00 degrees
Last column: magnetic moment on the atom in μB.
Fractional positions:
Tc  0.5000  0.5000  0.5000  2.09
B  0.0000  0.5000  0.0000  0.02
B  0.5000  0.0000  0.0000  0.02
B  0.0000  0.0000  0.5000  0.02
Rb  0.0000  0.0000  0.0000  0.06

---

Relative energy table, unit kJ/mol of atoms: (P) 0.0; (Q) 286.7

---

(P)
The following is a DFT calculation (GGA-PBEsol) of a relaxed BSbRu3 crystal.

Results
total magnetic moment = 0.0 Bohr magnetons per cell
symmetry = Pm-3m (221)

Cell lengths 4.0764, 4.0764, 4.0764 Å; angles 90.00, 90.00, 90.00 degrees
Fractional positions:
B  0.0000  0.0000  0.0000
Ru  0.0000  0.5000  0.0000
Ru  0.5000  0.0000  0.0000
Ru  0.0000  0.0000  0.5000
Sb  0.5000  0.5000  0.5000

---

(Q)
The following is a DFT calculation (GGA-PBEsol) of a relaxed BSbRu3 crystal.

Results
total magnetic moment = 3.7 Bohr magnetons per cell
symmetry = Pm-3m (221)

Cell lengths 4.7553, 4.7553, 4.7553 Å; angles 90.00, 90.00, 90.00 degrees
Last column: magnetic moment on the atom in μB.
Fractional positions:
Sb  0.0000  0.0000  0.0000  -0.04
Ru  0.0000  0.0000  0.5000  1.15
Ru  0.5000  0.0000  0.0000  1.15
Ru  0.0000  0.5000  0.0000  1.15
B  0.5000  0.5000  0.5000  0.05

---

Relative energy table, unit kJ/mol of atoms: (P) 0.0; (Q) 266.8